VASP calculation (PBE) on a relaxed structure of Th2FeAu.

Output
Final energy   -6.566 eV/atom
DOS(E_F)   0.759 states/eV per atom
DFT formation energy   79.3 meV per atom

Cell lengths 3.9442, 3.9442, 26.4153 Å; angles 90.00, 90.00, 120.00 degrees
Space group R-3m (No. 166, hexagonal axes)
Symmetry-distinct sites (fractional):
Th1 0.0000 0.0000 0.1121 [6 per cell]
Fe1 0.0000 0.0000 0.5000 [3 per cell]
Au1 0.0000 0.0000 0.0000 [3 per cell]

VASP calculation (PBE) on a relaxed structure of LiCaLa2Be.

Output
Final energy   -2.991 eV/atom
DOS(E_F)   1.196 states/eV per atom
DFT formation energy   508.0 meV per atom

Cell lengths 5.6549, 5.6549, 4.5769 Å; angles 90.00, 90.00, 90.00 degrees
Space group P4/mmm (No. 123)
Symmetry-distinct sites (fractional):
Li1 0.0000 0.0000 0.0000 [1 per cell]
Ca1 0.5000 0.5000 0.5000 [1 per cell]
La1 0.0000 0.5000 0.0000 [2 per cell]
Be1 0.0000 0.0000 0.5000 [1 per cell]

VASP calculation (PBE) on a relaxed structure of NaCe2Sm3Te6.

Output
Raw formation energy   -1.3649 eV per atom
Final energy   -5.214 eV/atom
DOS(E_F)   1.425 states/eV per atom

Cell lengths 19.5510, 4.4415, 9.0217 Å; angles 90.00, 103.75, 90.00 degrees
Space group C2/m (No. 12)
Symmetry-distinct sites (fractional):
Na1 0.0000 0.0000 0.0000 [2 per cell]
Ce1 0.1682 0.5000 0.3360 [4 per cell]
Sm1 0.0000 0.0000 0.5000 [2 per cell]
Sm2 0.1660 0.5000 0.8275 [4 per cell]
Te1 0.0001 0.5000 0.2504 [4 per cell]
Te2 0.1649 0.0000 0.5841 [4 per cell]
Te3 0.1665 0.0000 0.0786 [4 per cell]

VASP calculation (PBE) on a relaxed structure of TlSn3S3.

Output
Raw formation energy   -0.2728 eV per atom
Final energy   -4.095 eV/atom
DOS(E_F)   0.310 states/eV per atom

Cell lengths 8.2948, 8.2948, 19.5446 Å; angles 90.00, 90.00, 120.00 degrees
Space group R-3 (No. 148, hexagonal axes)
Symmetry-distinct sites (fractional):
Tl1 0.0000 0.0000 0.1681 [6 per cell]
Sn1 0.0227 0.2535 0.5967 [18 per cell]
S1 0.0397 0.4194 0.3927 [18 per cell]

VASP calculation (PBE) on a relaxed structure of Tb3Dy2Sc3.

Output
Final energy   -5.233 eV/atom
DOS(E_F)   1.503 states/eV per atom
DFT formation energy   28.0 meV per atom

Cell lengths 23.0187, 3.4791, 5.9585 Å; angles 90.00, 104.65, 90.00 degrees
Space group C2/m (No. 12)
Symmetry-distinct sites (fractional):
Tb1 0.0000 0.0000 0.0000 [2 per cell]
Tb2 0.1230 0.0000 0.4640 [4 per cell]
Dy1 0.2469 0.0000 0.2431 [4 per cell]
Sc1 0.0000 0.5000 0.5000 [2 per cell]
Sc2 0.1235 0.5000 0.9584 [4 per cell]

VASP calculation (PBE) on a relaxed structure of NdAl2.

Output
Final energy   -4.588 eV/atom
DOS(E_F)   0.766 states/eV per atom
DFT formation energy   -503.9 meV per atom

Cell lengths 8.0441, 8.0441, 8.0441 Å; angles 90.00, 90.00, 90.00 degrees
Space group Fd-3m (No. 227, origin choice 2)
Symmetry-distinct sites (fractional):
Nd1 0.1250 0.1250 0.1250 [8 per cell]
Al1 0.0000 0.0000 0.5000 [16 per cell]

Q: Number 3 is which compound?
A: NaCe2Sm3Te6

Q: The lowest final energy belongs to which entry?
A: Th2FeAu

Q: What is the DOS(E_F) in the sixth record?
A: 0.766 states/eV per atom